Compound: In2Ni
Source: Alexandria via LeMat-Bulk
Functional: GGA-PBE
Structure: optimized geometry

Unit cell a=3.136 b=17.410 c=4.341 alpha=90.00 beta=90.00 gamma=90.00
Element x y z (fractional)
In 0.000 0.066 0.250
In 0.000 0.198 0.750
In 0.000 0.802 0.250
In 0.000 0.934 0.750
In 0.500 0.302 0.250
In 0.500 0.434 0.750
In 0.500 0.566 0.250
In 0.500 0.698 0.750
Ni 0.000 0.434 0.250
Ni 0.000 0.566 0.750
Ni 0.500 0.066 0.750
Ni 0.500 0.934 0.250

Properties
DFT total energy: -3.7825 eV/atom
Formation enthalpy at 0 K: -30 meV per atom